# SrTlSnCl2

SrTlSnCl2 after structural relaxation (PBE, Alexandria via LeMat-Bulk).

Cell and atoms, written as CIF:
```
data_SrTlSnCl2
_chemical_formula_sum 'Sr1 Tl1 Sn1 Cl2'
_cell_length_a 5.4418
_cell_length_b 5.4418
_cell_length_c 7.2616
_cell_angle_alpha 90.00
_cell_angle_beta 90.00
_cell_angle_gamma 90.00
_symmetry_space_group_name_H-M 'P 4/m m m'
_symmetry_Int_Tables_number 123
_symmetry_space_group_name_Hall '-P 4 2'
loop_
_atom_site_label
_atom_site_type_symbol
_atom_site_fract_x
_atom_site_fract_y
_atom_site_fract_z
Sr1 Sr 0.0000 0.0000 0.0000
Tl1 Tl 0.5000 0.5000 0.5000
Sn1 Sn 0.0000 0.0000 0.5000
Cl1 Cl 0.0000 0.5000 0.0000
```

electronic total energy = -16.0 eV/cell
formation energy from raw total energies = -0.855 eV per atom
mass density = 3.7 g cm⁻³
M_tot = 1.45 Bohr magnetons per cell
N(E_F) = 0.601 states/eV per atom